DFT (PBE) results for a relaxed structure of SmAgAu.

Results
Formation enthalpy at 0 K, meV/atom: -578

Lattice parameters (Å, degrees): 5.377 5.377 5.377 138.56 138.56 60.05
Sites, in units of the cell vectors:
1 Sm 0.004 0.004 0.000
2 Au 0.667 0.667 0.000
3 Ag 0.329 0.329 0.000

DFT (PBE) results for a relaxed structure of ErSi2Ir.

Results
E, eV/atom: -6.79

Lattice parameters (Å, degrees): 4.043 6.182 5.426 90.00 90.00 90.00
Sites, in units of the cell vectors:
1 Si 0.000 0.857 0.651
2 Si 0.500 0.143 0.151
3 Si 0.500 0.763 0.359
4 Si 0.000 0.237 0.859
5 Er 0.500 0.581 0.865
6 Er 0.000 0.419 0.365
7 Ir 0.000 0.905 0.125
8 Ir 0.500 0.095 0.625

DFT (PBE) results for a relaxed structure of Ho4NiB14.

Results
E, eV/atom: -6.80

Lattice parameters (Å, degrees): 7.199 7.199 7.457 90.00 90.00 90.00
Sites, in units of the cell vectors:
1 B 0.411 0.089 0.250
2 B 0.325 0.539 0.732
3 B 0.039 0.825 0.232
4 B 0.825 0.961 0.232
5 B 0.089 0.589 0.750
6 B 0.589 0.911 0.750
7 B 0.461 0.325 0.732
8 B 0.461 0.325 0.268
9 B 0.500 0.500 0.889
10 B 0.000 0.000 0.389
11 B 0.175 0.039 0.768
12 B 0.911 0.411 0.750
13 B 0.961 0.175 0.232
14 B 0.089 0.589 0.250
15 B 0.675 0.461 0.732
16 B 0.961 0.175 0.768
17 B 0.000 0.000 0.611
18 B 0.825 0.961 0.768
19 B 0.539 0.675 0.732
20 B 0.911 0.411 0.250
21 B 0.325 0.539 0.268
22 B 0.039 0.825 0.768
23 B 0.411 0.089 0.750
24 B 0.175 0.039 0.232
25 B 0.500 0.500 0.111
26 B 0.589 0.911 0.250
27 B 0.539 0.675 0.268
28 B 0.675 0.461 0.268
29 Ho 0.806 0.668 0.000
30 Ho 0.194 0.332 0.000
31 Ho 0.668 0.194 0.000
32 Ho 0.306 0.832 0.500
33 Ho 0.694 0.168 0.500
34 Ho 0.332 0.806 0.000
35 Ho 0.168 0.306 0.500
36 Ho 0.832 0.694 0.500
37 Ni 0.500 0.500 0.500
38 Ni 0.000 0.000 0.000

DFT (PBE) results for a relaxed structure of Hf4ZnAuN2.

Results
E, eV/atom: -8.66

Lattice parameters (Å, degrees): 3.236 3.236 13.929 90.00 90.00 120.00
Sites, in units of the cell vectors:
1 Hf 0.667 0.333 0.159
2 Hf 0.000 0.000 0.663
3 Hf 0.000 0.000 0.337
4 Hf 0.667 0.333 0.841
5 Au 0.667 0.333 0.500
6 Zn 0.000 0.000 0.000
7 N 0.333 0.667 0.248
8 N 0.333 0.667 0.752

DFT (PBE) results for a relaxed structure of Tb2GdIn.

Results
E, eV/atom: -4.44

Lattice parameters (Å, degrees): 4.865 4.865 4.844 90.00 90.00 90.00
Sites, in units of the cell vectors:
1 Tb 0.500 0.000 0.000
2 Tb 0.000 0.500 0.000
3 In 0.500 0.500 0.500
4 Gd 0.000 0.000 0.500

DFT (PBE) results for a relaxed structure of Hg3SbF6.

Results
E, eV/atom: -3.27

Lattice parameters (Å, degrees): 5.044 5.044 7.368 90.00 90.00 120.00
Sites, in units of the cell vectors:
1 Sb 0.000 0.000 0.000
2 F 0.308 0.308 0.153
3 F 0.000 0.692 0.153
4 F 0.000 0.308 0.847
5 F 0.308 0.000 0.847
6 F 0.692 0.000 0.153
7 F 0.692 0.692 0.847
8 Hg 0.000 0.000 0.500
9 Hg 0.667 0.333 0.500
10 Hg 0.333 0.667 0.500

DFT (PBE) results for a relaxed structure of Ag8As.

Results
E, eV/atom: -2.94

Lattice parameters (Å, degrees): 4.934 4.934 27.332 90.46 90.46 47.80
Sites, in units of the cell vectors:
1 Ag 0.848 0.848 0.693
2 Ag 0.149 0.149 0.658
3 Ag 0.756 0.756 0.229
4 Ag 0.244 0.244 0.771
5 Ag 0.851 0.851 0.342
6 Ag 0.751 0.751 0.589
7 Ag 0.450 0.450 0.270
8 Ag 0.949 0.949 0.448
9 Ag 0.452 0.452 0.622
10 Ag 0.650 0.650 0.482
11 Ag 0.152 0.152 0.307
12 Ag 0.350 0.350 0.518
13 Ag 0.548 0.548 0.378
14 Ag 0.051 0.051 0.552
15 Ag 0.550 0.550 0.730
16 Ag 0.249 0.249 0.411
17 As 0.943 0.943 0.788
18 As 0.057 0.057 0.212

DFT (PBE) results for a relaxed structure of Lu4Zr2Ga3N3.

Results
E, eV/atom: -6.92

Lattice parameters (Å, degrees): 5.821 5.821 14.636 101.59 101.59 60.00
Sites, in units of the cell vectors:
1 Lu 0.869 0.697 0.095
2 Lu 0.303 0.131 0.405
3 Lu 0.131 0.303 0.905
4 Lu 0.195 0.035 0.095
5 Lu 0.805 0.965 0.905
6 Lu 0.697 0.869 0.595
7 Lu 0.965 0.805 0.405
8 Lu 0.035 0.195 0.595
9 Zr 0.472 0.642 0.918
10 Zr 0.358 0.528 0.582
11 Zr 0.642 0.472 0.418
12 Zr 0.528 0.358 0.082
13 N 0.500 0.000 0.000
14 N 0.331 0.837 0.500
15 N 0.669 0.163 0.500
16 N 0.837 0.331 0.000
17 N 0.163 0.669 0.000
18 N 0.000 0.500 0.500
19 Ga 0.864 0.136 0.250
20 Ga 0.304 0.417 0.250
21 Ga 0.136 0.864 0.750
22 Ga 0.696 0.583 0.750
23 Ga 0.583 0.696 0.250
24 Ga 0.417 0.304 0.750

DFT (PBE) results for a relaxed structure of NiW28.

Results
Formation enthalpy at 0 K, meV/atom: 345

Lattice parameters (Å, degrees): 8.541 8.541 8.541 109.47 109.47 109.47
Sites, in units of the cell vectors:
1 W 0.812 0.621 0.621
2 W 0.315 0.315 0.721
3 W 0.721 0.315 0.315
4 W 0.595 0.595 0.279
5 W 0.685 0.405 0.000
6 W 0.405 0.685 0.000
7 W 0.315 0.721 0.315
8 W 0.361 0.361 0.361
9 W 0.621 0.621 0.812
10 W 0.000 0.379 0.190
11 W 0.188 0.810 0.810
12 W 0.000 0.639 0.000
13 W 0.379 0.190 0.000
14 W 0.190 0.379 0.000
15 W 0.279 0.595 0.595
16 W 0.810 0.810 0.188
17 W 0.190 0.000 0.379
18 W 0.000 0.405 0.685
19 W 0.639 0.000 0.000
20 W 0.595 0.279 0.595
21 W 0.685 0.000 0.405
22 W 0.000 0.000 0.639
23 W 0.000 0.685 0.405
24 W 0.405 0.000 0.685
25 W 0.621 0.812 0.621
26 W 0.810 0.188 0.810
27 W 0.000 0.190 0.379
28 W 0.379 0.000 0.190
29 Ni 0.000 0.000 0.000

DFT (PBE) results for a relaxed structure of LaDy2Hg3PdAu2.

Results
Formation enthalpy at 0 K, meV/atom: -676

Lattice parameters (Å, degrees): 3.864 7.970 7.970 120.63 90.00 90.00
Sites, in units of the cell vectors:
1 Hg 0.500 0.004 0.738
2 Hg 0.500 0.738 0.004
3 Hg 0.500 0.260 0.260
4 Dy 0.000 0.002 0.395
5 Dy 0.000 0.395 0.002
6 La 0.000 0.605 0.605
7 Pd 0.000 0.001 0.001
8 Au 0.500 0.327 0.669
9 Au 0.500 0.669 0.327

DFT (PBE) results for a relaxed structure of NiMo4PC2.

Results
E, eV/atom: -9.12

Lattice parameters (Å, degrees): 3.131 3.131 11.994 90.00 90.00 120.00
Sites, in units of the cell vectors:
1 C 0.000 0.000 0.749
2 C 0.000 0.000 0.251
3 P 0.667 0.333 0.500
4 Ni 0.333 0.667 0.000
5 Mo 0.333 0.667 0.353
6 Mo 0.333 0.667 0.647
7 Mo 0.667 0.333 0.837
8 Mo 0.667 0.333 0.163

DFT (PBE) results for a relaxed structure of Sc4ZnBiC2.

Results
E, eV/atom: -6.64

Lattice parameters (Å, degrees): 3.386 3.386 14.642 90.00 90.00 120.00
Last column: magnetic moment on the atom in μB.
Sites, in units of the cell vectors:
1 Sc 0.000 0.000 0.661  0.12
2 Sc 0.333 0.667 0.174  0.01
3 Sc 0.333 0.667 0.826  0.01
4 Sc 0.000 0.000 0.339  0.11
5 Bi 0.000 0.000 0.000  0.00
6 Zn 0.333 0.667 0.500  0.05
7 C 0.667 0.333 0.747  0.00
8 C 0.667 0.333 0.253  0.00

DFT (PBE) results for a relaxed structure of Sr2BeH6Au.

Results
E, eV/atom: -3.30

Lattice parameters (Å, degrees): 5.383 5.383 5.383 60.00 60.00 60.00
Sites, in units of the cell vectors:
1 H 0.287 0.713 0.287
2 H 0.713 0.287 0.713
3 H 0.713 0.713 0.287
4 H 0.287 0.713 0.713
5 H 0.287 0.287 0.713
6 H 0.713 0.287 0.287
7 Sr 0.250 0.250 0.250
8 Sr 0.750 0.750 0.750
9 Be 0.500 0.500 0.500
10 Au 0.000 0.000 0.000

DFT (PBE) results for a relaxed structure of Pm2Pt2O5.

Results
E, eV/atom: -6.50

Lattice parameters (Å, degrees): 9.419 3.766 3.766 90.00 90.00 90.00
Last column: magnetic moment on the atom in μB.
Sites, in units of the cell vectors:
1 Pt 0.000 0.000 0.000  0.10
2 Pt 0.500 0.000 0.000  -0.01
3 O 0.127 0.500 0.000  0.01
4 O 0.500 0.500 0.500  0.00
5 O 0.873 0.500 0.000  0.01
6 O 0.127 0.000 0.500  0.01
7 O 0.873 0.000 0.500  0.01
8 Pm 0.261 0.500 0.500  0.00
9 Pm 0.739 0.500 0.500  0.00

DFT (PBE) results for a relaxed structure of YBe2Ni.

Results
E, eV/atom: -4.77

Lattice parameters (Å, degrees): 4.319 4.319 4.319 60.00 60.00 60.00
Sites, in units of the cell vectors:
1 Be 0.250 0.250 0.250
2 Be 0.000 0.000 0.000
3 Ni 0.500 0.500 0.500
4 Y 0.750 0.750 0.750

DFT (PBE) results for a relaxed structure of SrZnGe2N4.

Results
E, eV/atom: -5.93

Lattice parameters (Å, degrees): 5.371 5.371 5.371 122.60 122.60 85.55
Sites, in units of the cell vectors:
1 N 0.580 0.175 0.041
2 N 0.825 0.866 0.405
3 N 0.462 0.420 0.595
4 N 0.134 0.538 0.959
5 Zn 0.250 0.750 0.500
6 Ge 0.750 0.250 0.500
7 Ge 0.500 0.500 0.000
8 Sr 0.000 0.000 0.000

DFT (PBE) results for a relaxed structure of TbHo2In3CuPd2.

Results
E, eV/atom: -4.71

Lattice parameters (Å, degrees): 3.845 7.655 7.655 120.07 90.00 90.00
Sites, in units of the cell vectors:
1 Cu 0.000 0.999 0.999
2 Tb 0.000 0.410 0.410
3 Ho 0.000 0.000 0.590
4 Ho 0.000 0.590 0.000
5 Pd 0.500 0.668 0.333
6 Pd 0.500 0.333 0.668
7 In 0.500 0.252 0.999
8 In 0.500 0.999 0.252
9 In 0.500 0.749 0.749

DFT (PBE) results for a relaxed structure of ErCdSi.

Results
E, eV/atom: -3.90

Lattice parameters (Å, degrees): 4.606 4.606 4.606 60.00 60.00 60.00
Sites, in units of the cell vectors:
1 Er 0.750 0.750 0.750
2 Si 0.000 0.000 0.000
3 Cd 0.250 0.250 0.250

DFT (PBE) results for a relaxed structure of ZrFeCuSi2.

Results
E, eV/atom: -6.81

Lattice parameters (Å, degrees): 5.680 5.680 5.680 141.33 141.33 55.84
Last column: magnetic moment on the atom in μB.
Sites, in units of the cell vectors:
1 Fe 0.000 0.000 0.000  1.30
2 Si 0.633 0.133 0.500  -0.02
3 Si 0.867 0.367 0.500  -0.02
4 Cu 0.500 0.500 0.000  0.05
5 Zr 0.250 0.750 0.500  0.07

DFT (PBE) results for a relaxed structure of YErTlNi2.

Results
E, eV/atom: -5.39

Lattice parameters (Å, degrees): 3.666 7.469 7.469 29.94 90.00 90.00
Sites, in units of the cell vectors:
1 Y 0.000 0.640 0.640
2 Ni 0.500 0.201 0.201
3 Ni 0.500 0.799 0.799
4 Tl 0.500 0.000 0.000
5 Er 0.000 0.360 0.360

DFT (PBE) results for a relaxed structure of MoN2.

Results
E, eV/atom: -8.85

Lattice parameters (Å, degrees): 4.200 4.987 2.831 90.00 90.00 90.00
Last column: magnetic moment on the atom in μB.
Sites, in units of the cell vectors:
1 N 0.372 0.914 0.000  0.02
2 N 0.872 0.586 0.500  0.01
3 N 0.128 0.414 0.500  0.01
4 N 0.628 0.086 0.000  0.02
5 Mo 0.500 0.500 0.000  0.91
6 Mo 0.000 0.000 0.500  0.93